No. 1
Ca2MgCdRh: optimized geometry, PBE.

Cell lengths 5.411, 5.411, 5.044 Å; angles 90.00, 90.00, 90.00 degrees
Space group P4/mmm (No. 123)
Symmetry-distinct sites (fractional):
1 Ca 0.000 0.500 0.000
2 Mg 0.000 0.000 0.500
3 Cd 0.500 0.500 0.500
4 Rh 0.000 0.000 0.000

=====

No. 2
CaMgScCd: optimized geometry, PBE.

Cell lengths 3.721, 3.721, 7.458 Å; angles 90.00, 90.00, 90.00 degrees
Space group P4mm (No. 99)
Symmetry-distinct sites (fractional):
1 Ca 0.000 0.000 0.000
2 Mg 0.500 0.500 0.712
3 Sc 0.000 0.000 0.484
4 Cd 0.500 0.500 0.273

Energy relative to the lowest polymorph listed for this composition (meV/atom): 0

=====

No. 3
CaMgScCd: optimized geometry, PBE.

Cell lengths 7.420, 7.420, 7.420 Å; angles 90.00, 90.00, 90.00 degrees
Space group F-43m (No. 216)
Symmetry-distinct sites (fractional):
1 Ca 0.000 0.000 0.000
2 Mg 0.250 0.250 0.750
3 Sc 0.000 0.000 0.500
4 Cd 0.250 0.250 0.250

Energy relative to the lowest polymorph listed for this composition (meV/atom): 37

=====

Density
In order: 3.596, 3.566, 3.605
Unit: g/cm³
Energy of formation
In order: -0.204, -0.181, -0.144
Unit: eV per atom